# MgTiCr3 GGA-PBE optimized geometry
data_MgTiCr3
_chemical_formula_sum 'Mg1 Ti1 Cr3'
_cell_length_a 4.357
_cell_length_b 4.357
_cell_length_c 4.357
_cell_angle_alpha 90.00
_cell_angle_beta 90.00
_cell_angle_gamma 90.00
_space_group_name_H-M_alt 'P 1'
_space_group_IT_number 1
loop_
_space_group_symop_operation_xyz
'x,y,z'
loop_
_atom_site_label
_atom_site_fract_x
_atom_site_fract_y
_atom_site_fract_z
_atom_site_occupancy
Mg1 0.000 0.000 0.000 1
Ti1 0.500 0.500 0.500 1
Cr1 0.000 0.500 0.500 1
Cr2 0.500 0.000 0.500 1
Cr3 0.500 0.500 0.000 1
# - distance to the lowest polymorph of the same formula (eV per atom) = 0.000
# - ΔE_f (eV per atom) = 1.346
# - total DFT energy (no corrections) (eV per atom) = -6.326

# Mg14TiCr GGA-PBE optimized geometry
data_Mg14TiCr
_chemical_formula_sum 'Mg14 Ti1 Cr1'
_cell_length_a 10.222
_cell_length_b 6.293
_cell_length_c 6.293
_cell_angle_alpha 59.50
_cell_angle_beta 90.00
_cell_angle_gamma 90.00
_space_group_name_H-M_alt 'P 1'
_space_group_IT_number 1
loop_
_space_group_symop_operation_xyz
'x,y,z'
loop_
_atom_site_label
_atom_site_fract_x
_atom_site_fract_y
_atom_site_fract_z
_atom_site_occupancy
Mg1 0.000 0.000 0.000 1
Mg2 0.000 0.001 0.500 1
Mg3 0.000 0.500 0.001 1
Mg4 0.000 0.500 0.500 1
Mg5 0.253 0.664 0.664 1
Mg6 0.258 0.164 0.164 1
Mg7 0.261 0.170 0.669 1
Mg8 0.261 0.669 0.170 1
Mg9 0.500 0.504 0.999 1
Mg10 0.500 0.999 0.504 1
Mg11 0.739 0.170 0.669 1
Mg12 0.739 0.669 0.170 1
Mg13 0.742 0.164 0.164 1
Mg14 0.747 0.664 0.664 1
Ti1 0.500 0.503 0.503 1
Cr1 0.500 0.000 0.000 1
# - distance to the lowest polymorph of the same formula (eV per atom) = 0.000
# - ΔE_f (eV per atom) = 0.100
# - total DFT energy (no corrections) (eV per atom) = -2.391

# Mg2TiCr GGA-PBE optimized geometry
data_Mg2TiCr
_chemical_formula_sum 'Mg8 Ti4 Cr4'
_cell_length_a 7.487
_cell_length_b 7.487
_cell_length_c 5.141
_cell_angle_alpha 90.00
_cell_angle_beta 90.00
_cell_angle_gamma 90.00
_space_group_name_H-M_alt 'P 1'
_space_group_IT_number 1
loop_
_space_group_symop_operation_xyz
'x,y,z'
loop_
_atom_site_label
_atom_site_fract_x
_atom_site_fract_y
_atom_site_fract_z
_atom_site_occupancy
Mg1 0.227 0.750 0.125 1
Mg2 0.250 0.227 0.875 1
Mg3 0.250 0.273 0.375 1
Mg4 0.273 0.750 0.625 1
Mg5 0.727 0.250 0.625 1
Mg6 0.750 0.727 0.375 1
Mg7 0.750 0.773 0.875 1
Mg8 0.773 0.250 0.125 1
Ti1 0.000 0.000 0.500 1
Ti2 0.000 0.500 0.750 1
Ti3 0.500 0.000 0.250 1
Ti4 0.500 0.500 0.000 1
Cr1 0.000 0.000 0.000 1
Cr2 0.000 0.500 0.250 1
Cr3 0.500 0.000 0.750 1
Cr4 0.500 0.500 0.500 1
# - distance to the lowest polymorph of the same formula (eV per atom) = 0.466
# - ΔE_f (eV per atom) = 0.849
# - total DFT energy (no corrections) (eV per atom) = -4.328

# Mg14TiCr GGA-PBE optimized geometry
data_Mg14TiCr
_chemical_formula_sum 'Mg14 Ti1 Cr1'
_cell_length_a 6.319
_cell_length_b 6.319
_cell_length_c 10.107
_cell_angle_alpha 90.00
_cell_angle_beta 90.00
_cell_angle_gamma 120.00
_space_group_name_H-M_alt 'P 1'
_space_group_IT_number 1
loop_
_space_group_symop_operation_xyz
'x,y,z'
loop_
_atom_site_label
_atom_site_fract_x
_atom_site_fract_y
_atom_site_fract_z
_atom_site_occupancy
Mg1 0.000 0.000 0.246 1
Mg2 0.000 0.000 0.754 1
Mg3 0.011 0.506 0.250 1
Mg4 0.011 0.506 0.750 1
Mg5 0.334 0.167 0.500 1
Mg6 0.339 0.170 0.000 1
Mg7 0.494 0.506 0.250 1
Mg8 0.494 0.506 0.750 1
Mg9 0.494 0.989 0.250 1
Mg10 0.494 0.989 0.750 1
Mg11 0.830 0.170 0.000 1
Mg12 0.830 0.661 0.000 1
Mg13 0.833 0.167 0.500 1
Mg14 0.833 0.666 0.500 1
Ti1 0.333 0.667 0.000 1
Cr1 0.333 0.667 0.500 1
# - distance to the lowest polymorph of the same formula (eV per atom) = 0.005
# - ΔE_f (eV per atom) = 0.105
# - total DFT energy (no corrections) (eV per atom) = -2.385

# MgTi2Cr2 GGA-PBE optimized geometry
data_MgTi2Cr2
_chemical_formula_sum 'Mg2 Ti4 Cr4'
_cell_length_a 3.424
_cell_length_b 3.424
_cell_length_c 14.418
_cell_angle_alpha 90.00
_cell_angle_beta 90.00
_cell_angle_gamma 90.00
_space_group_name_H-M_alt 'P 1'
_space_group_IT_number 1
loop_
_space_group_symop_operation_xyz
'x,y,z'
loop_
_atom_site_label
_atom_site_fract_x
_atom_site_fract_y
_atom_site_fract_z
_atom_site_occupancy
Mg1 0.000 0.000 0.000 1
Mg2 0.500 0.500 0.500 1
Ti1 0.000 0.000 0.383 1
Ti2 0.000 0.000 0.617 1
Ti3 0.500 0.500 0.117 1
Ti4 0.500 0.500 0.883 1
Cr1 0.000 0.500 0.250 1
Cr2 0.000 0.500 0.750 1
Cr3 0.500 0.000 0.250 1
Cr4 0.500 0.000 0.750 1
# - distance to the lowest polymorph of the same formula (eV per atom) = 0.322
# - ΔE_f (eV per atom) = 0.526
# - total DFT energy (no corrections) (eV per atom) = -6.801

# MgTi2Cr2 GGA-PBE optimized geometry
data_MgTi2Cr2
_chemical_formula_sum 'Mg2 Ti4 Cr4'
_cell_length_a 7.366
_cell_length_b 7.366
_cell_length_c 3.022
_cell_angle_alpha 90.00
_cell_angle_beta 90.00
_cell_angle_gamma 90.00
_space_group_name_H-M_alt 'P 1'
_space_group_IT_number 1
loop_
_space_group_symop_operation_xyz
'x,y,z'
loop_
_atom_site_label
_atom_site_fract_x
_atom_site_fract_y
_atom_site_fract_z
_atom_site_occupancy
Mg1 0.000 0.000 0.000 1
Mg2 0.500 0.500 0.000 1
Ti1 0.134 0.366 0.000 1
Ti2 0.366 0.866 0.000 1
Ti3 0.634 0.134 0.000 1
Ti4 0.866 0.634 0.000 1
Cr1 0.158 0.658 0.500 1
Cr2 0.342 0.158 0.500 1
Cr3 0.658 0.842 0.500 1
Cr4 0.842 0.342 0.500 1
# - distance to the lowest polymorph of the same formula (eV per atom) = 0.123
# - ΔE_f (eV per atom) = 0.327
# - total DFT energy (no corrections) (eV per atom) = -6.999

# MgTiZn2Cr GGA-PBE optimized geometry
data_MgTiZn2Cr
_chemical_formula_sum 'Mg1 Ti1 Zn2 Cr1'
_cell_length_a 4.789
_cell_length_b 4.789
_cell_length_c 4.180
_cell_angle_alpha 90.00
_cell_angle_beta 90.00
_cell_angle_gamma 90.00
_space_group_name_H-M_alt 'P 1'
_space_group_IT_number 1
loop_
_space_group_symop_operation_xyz
'x,y,z'
loop_
_atom_site_label
_atom_site_fract_x
_atom_site_fract_y
_atom_site_fract_z
_atom_site_occupancy
Mg1 0.000 0.000 0.000 1
Ti1 0.500 0.500 0.000 1
Zn1 0.000 0.500 0.500 1
Zn2 0.500 0.000 0.500 1
Cr1 0.500 0.500 0.500 1
# - ΔE_f (eV per atom) = 0.492
# - total DFT energy (no corrections) (eV per atom) = -3.840

# Mg2ZrTiCr GGA-PBE optimized geometry
data_Mg2ZrTiCr
_chemical_formula_sum 'Mg2 Zr1 Ti1 Cr1'
_cell_length_a 4.942
_cell_length_b 4.942
_cell_length_c 4.593
_cell_angle_alpha 90.00
_cell_angle_beta 90.00
_cell_angle_gamma 90.00
_space_group_name_H-M_alt 'P 1'
_space_group_IT_number 1
loop_
_space_group_symop_operation_xyz
'x,y,z'
loop_
_atom_site_label
_atom_site_fract_x
_atom_site_fract_y
_atom_site_fract_z
_atom_site_occupancy
Mg1 0.000 0.500 0.000 1
Mg2 0.500 0.000 0.000 1
Zr1 0.000 0.000 0.500 1
Ti1 0.500 0.500 0.500 1
Cr1 0.000 0.000 0.000 1
# - ΔE_f (eV per atom) = 0.928
# - total DFT energy (no corrections) (eV per atom) = -4.924

Which of these has the highest total DFT energy (no corrections)?
number 4

Which of these has the lowest ΔE_f?
number 2